# Sm2ZnI (PBE, optimized geometry)
# D(E_F) ... 0.931 states/eV per atom
# Raw total energy ... -43.3 eV per cell
# ΔE_f (raw) ... -0.54 eV per atom
# Energy above the lowest structure with this stoichiometry ... 5.2 meV per atom
data_Sm2ZnI
_chemical_formula_sum 'Sm6 Zn3 I3'
_space_group_name_H-M_alt 'R -3 m'
_space_group_IT_number 166
_space_group_name_Hall '-R 3 2"'
_cell_length_a 4.1576
_cell_length_b 4.1576
_cell_length_c 23.8448
_cell_angle_alpha 90.00
_cell_angle_beta 90.00
_cell_angle_gamma 120.00
loop_
_atom_site_label
_atom_site_type_symbol
_atom_site_fract_x
_atom_site_fract_y
_atom_site_fract_z
_atom_site_occupancy
Sm1 Sm 0.0000 0.0000 0.2387 1
Zn1 Zn 0.0000 0.0000 0.5000 1
I1 I 0.0000 0.0000 0.0000 1



# Sm4ZnI5 (PBE, optimized geometry)
# D(E_F) ... 0.360 states/eV per atom
# Raw total energy ... -76.7 eV per cell
# ΔE_f (raw) ... -1.04 eV per atom
data_Sm4ZnI5
_chemical_formula_sum 'Sm8 Zn2 I10'
_space_group_name_H-M_alt 'C 1 2/m 1'
_space_group_IT_number 12
_cell_length_a 19.413
_cell_length_b 4.177
_cell_length_c 9.140
_cell_angle_alpha 90.00
_cell_angle_beta 102.52
_cell_angle_gamma 90.00
loop_
_space_group_symop_operation_xyz
'x,y,z'
'-x,-y,-z'
'-x,y,-z'
'x,-y,z'
'x+1/2,y+1/2,z'
'-x+1/2,-y+1/2,-z'
'-x+1/2,y+1/2,-z'
'x+1/2,-y+1/2,z'
loop_
_atom_site_label
_atom_site_type_symbol
_atom_site_fract_x
_atom_site_fract_y
_atom_site_fract_z
_atom_site_occupancy
Sm1 Sm 0.000 0.000 0.221 1
Sm2 Sm 0.150 0.500 0.075 1
Zn1 Zn 0.000 0.500 0.000 1
I1 I 0.000 0.500 0.500 1
I2 I 0.167 0.000 0.340 1
I3 I 0.173 0.000 0.824 1



# Sm2ZnI (PBE, optimized geometry)
# D(E_F) ... 0.961 states/eV per atom
# Raw total energy ... -14.2 eV per cell
# ΔE_f (raw) ... -0.48 eV per atom
# Energy above the lowest structure with this stoichiometry ... 65.1 meV per atom
data_Sm2ZnI
_chemical_formula_sum 'Sm2 Zn1 I1'
_space_group_name_H-M_alt 'P 4/m m m'
_space_group_IT_number 123
_space_group_name_Hall '-P 4 2'
_cell_length_a 3.660
_cell_length_b 3.660
_cell_length_c 8.288
_cell_angle_alpha 90.00
_cell_angle_beta 90.00
_cell_angle_gamma 90.00
loop_
_atom_site_label
_atom_site_type_symbol
_atom_site_fract_x
_atom_site_fract_y
_atom_site_fract_z
_atom_site_occupancy
Sm1 Sm 0.000 0.000 0.216 1
Zn1 Zn 0.500 0.500 0.000 1
I1 I 0.500 0.500 0.500 1



# Sm2ZnI2 (PBE, optimized geometry)
# D(E_F) ... 1.055 states/eV per atom
# Raw total energy ... -54.2 eV per cell
# ΔE_f (raw) ... -0.85 eV per atom
data_Sm2ZnI2
_chemical_formula_sum 'Sm6 Zn3 I6'
_space_group_name_H-M_alt 'R -3 m'
_space_group_IT_number 166
_space_group_name_Hall '-R 3 2"'
_cell_length_a 4.1465
_cell_length_b 4.1465
_cell_length_c 36.1688
_cell_angle_alpha 90.00
_cell_angle_beta 90.00
_cell_angle_gamma 120.00
loop_
_atom_site_label
_atom_site_type_symbol
_atom_site_fract_x
_atom_site_fract_y
_atom_site_fract_z
_atom_site_occupancy
Sm1 Sm 0.0000 0.0000 0.1154 1
Zn1 Zn 0.0000 0.0000 0.5000 1
I1 I 0.0000 0.0000 0.2758 1



# SmZrI (PBE, optimized geometry)
# D(E_F) ... 0.951 states/eV per atom
# Raw total energy ... -63.7 eV per cell
# ΔE_f (raw) ... -0.37 eV per atom
data_SmZrI
_chemical_formula_sum 'Sm4 Zr4 I4'
_space_group_name_H-M_alt 'C 1 2/m 1'
_space_group_IT_number 12
_cell_length_a 10.655
_cell_length_b 3.646
_cell_length_c 10.901
_cell_angle_alpha 90.00
_cell_angle_beta 117.80
_cell_angle_gamma 90.00
loop_
_space_group_symop_operation_xyz
'x,y,z'
'-x,-y,-z'
'-x,y,-z'
'x,-y,z'
'x+1/2,y+1/2,z'
'-x+1/2,-y+1/2,-z'
'-x+1/2,y+1/2,-z'
'x+1/2,-y+1/2,z'
loop_
_atom_site_label
_atom_site_type_symbol
_atom_site_fract_x
_atom_site_fract_y
_atom_site_fract_z
_atom_site_occupancy
Sm1 Sm 0.019 0.000 0.245 1
Zr1 Zr 0.157 0.500 0.040 1
I1 I 0.198 0.000 0.630 1



# Sm2ZrI (PBE, optimized geometry)
# D(E_F) ... 1.315 states/eV per atom
# Raw total energy ... -57.4 eV per cell
# ΔE_f (raw) ... 0.10 eV per atom
data_Sm2ZrI
_chemical_formula_sum 'Sm6 Zr3 I3'
_space_group_name_H-M_alt 'R -3 m'
_space_group_IT_number 166
_space_group_name_Hall '-R 3 2"'
_cell_length_a 3.5539
_cell_length_b 3.5539
_cell_length_c 34.0108
_cell_angle_alpha 90.00
_cell_angle_beta 90.00
_cell_angle_gamma 120.00
loop_
_atom_site_label
_atom_site_type_symbol
_atom_site_fract_x
_atom_site_fract_y
_atom_site_fract_z
_atom_site_occupancy
Sm1 Sm 0.0000 0.0000 0.0911 1
Zr1 Zr 0.0000 0.0000 0.0000 1
I1 I 0.0000 0.0000 0.5000 1



# SnI2 (PBE, optimized geometry)
# D(E_F) ... 0.000 states/eV per atom
# Raw total energy ... -33.5 eV per cell
# ΔE_f (raw) ... -0.43 eV per atom
data_SnI2
_chemical_formula_sum 'Sn4 I8'
_space_group_name_H-M_alt 'F m m 2'
_space_group_IT_number 42
_space_group_name_Hall 'F 2 -2'
_cell_length_a 4.418
_cell_length_b 16.102
_cell_length_c 7.628
_cell_angle_alpha 90.00
_cell_angle_beta 90.00
_cell_angle_gamma 90.00
loop_
_atom_site_label
_atom_site_type_symbol
_atom_site_fract_x
_atom_site_fract_y
_atom_site_fract_z
_atom_site_occupancy
Sn1 Sn 0.000 0.000 0.000 1
I1 I 0.000 0.125 0.667 1



# Sn6I (PBE, optimized geometry)
# D(E_F) ... 1.058 states/eV per atom
# Raw total energy ... -50.1 eV per cell
# ΔE_f (raw) ... 0.07 eV per atom
data_Sn6I
_chemical_formula_sum 'Sn12 I2'
_space_group_name_H-M_alt 'I m -3 m'
_space_group_IT_number 229
_space_group_name_Hall '-I 4 2 3'
_cell_length_a 8.097
_cell_length_b 8.097
_cell_length_c 8.097
_cell_angle_alpha 90.00
_cell_angle_beta 90.00
_cell_angle_gamma 90.00
loop_
_atom_site_label
_atom_site_type_symbol
_atom_site_fract_x
_atom_site_fract_y
_atom_site_fract_z
_atom_site_occupancy
Sn1 Sn 0.000 0.250 0.500 1
I1 I 0.000 0.000 0.000 1